A) Rb2NaCl3: relaxed, GGA-PBE.

```
Rb2NaCl3
1.0
4.519 0.000 0.000
0.000 10.065 0.000
0.000 0.000 17.367
Cl Na Rb
12 4 8
Direct
0.250 0.645 0.926 Cl
0.750 0.124 0.252 Cl
0.750 0.355 0.074 Cl
0.750 0.855 0.426 Cl
0.750 0.074 0.918 Cl
0.750 0.624 0.248 Cl
0.250 0.926 0.082 Cl
0.250 0.145 0.574 Cl
0.250 0.376 0.752 Cl
0.250 0.876 0.748 Cl
0.750 0.574 0.582 Cl
0.250 0.426 0.418 Cl
0.750 0.584 0.409 Na
0.250 0.916 0.909 Na
0.750 0.084 0.091 Na
0.250 0.416 0.591 Na
0.250 0.320 0.938 Rb
0.250 0.874 0.276 Rb
0.250 0.820 0.562 Rb
0.750 0.626 0.776 Rb
0.750 0.680 0.062 Rb
0.750 0.180 0.438 Rb
0.250 0.374 0.224 Rb
0.750 0.126 0.724 Rb
```

Output
The density of states at the Fermi level is 0.00 states/eV/f.u. Its symmetry is Pnma, No. 62. For the magnetization, the calculation gives 0.0 μB/cell.

B) Rb2NaCl3: relaxed, GGA-PBE.

```
Rb2NaCl3
1.0
6.614 0.000 0.000
0.000 8.848 0.003
-3.307 -2.213 6.772
Cl Rb Na
6 4 2
Direct
0.143 0.572 0.287 Cl
0.540 0.750 0.000 Cl
0.857 0.428 0.713 Cl
0.460 0.250 0.000 Cl
0.856 0.928 0.713 Cl
0.144 0.072 0.287 Cl
0.670 0.585 0.342 Rb
0.671 0.085 0.342 Rb
0.330 0.415 0.658 Rb
0.329 0.915 0.658 Rb
0.035 0.250 0.000 Na
0.965 0.750 0.000 Na
```

Output
The density of states at the Fermi level is 0.00 states/eV/f.u. Its symmetry is C2/c, No. 15. For the magnetization, the calculation gives 0.0 μB/cell.

Which structure wins on stability? A) wins.

A) RbNaCl3: relaxed, GGA-PBE.

```
RbNaCl3
1.0
6.118 0.000 0.000
0.000 6.118 0.000
0.000 0.000 6.118
Cl Rb Na
3 1 1
Direct
0.000 0.500 0.000 Cl
0.000 0.000 0.500 Cl
0.500 0.000 0.000 Cl
0.000 0.000 0.000 Rb
0.500 0.500 0.500 Na
```

Output
The density of states at the Fermi level is 9.80 states/eV/f.u. Its symmetry is Pm-3m, No. 221. For the magnetization, the calculation gives 1.0 μB/cell.

B) RbNaCl3: relaxed, GGA-PBE.

```
RbNaCl3
1.0
-1.984 -1.960 4.606
-4.457 -1.564 -2.585
2.279 -4.765 -1.046
Rb Cl Na
1 3 1
Direct
0.500 0.500 0.500 Rb
0.500 0.000 0.000 Cl
0.000 0.000 0.500 Cl
0.000 0.500 0.000 Cl
0.000 0.000 0.000 Na
```

Output
The density of states at the Fermi level is 7.69 states/eV/f.u. Its symmetry is Pm-3m, No. 221. For the magnetization, the calculation gives 1.0 μB/cell.

Which structure wins on stability? B) wins.

A) Rb2NaCl2: relaxed, GGA-PBE.

```
Rb2NaCl2
1.0
6.099 0.000 0.000
0.000 6.099 0.000
3.050 3.050 7.071
Na Rb Cl
1 2 2
Direct
0.000 0.000 0.000 Na
0.682 0.682 0.636 Rb
0.318 0.318 0.364 Rb
0.750 0.250 0.500 Cl
0.250 0.750 0.500 Cl
```

Output
The density of states at the Fermi level is 1.94 states/eV/f.u. Its symmetry is I4/mmm, No. 139. For the magnetization, the calculation gives 0.6 μB/cell.

B) Rb2NaCl2: relaxed, GGA-PBE.

```
Rb2NaCl2
1.0
-8.811 1.627 1.586
-1.218 -8.744 2.203
0.912 0.913 4.128
Rb Cl Na
4 4 2
Direct
0.851 0.351 0.500 Rb
0.649 0.851 0.500 Rb
0.351 0.149 0.500 Rb
0.149 0.649 0.500 Rb
0.155 0.345 0.000 Cl
0.845 0.655 0.000 Cl
0.655 0.155 0.000 Cl
0.345 0.845 0.000 Cl
0.500 0.500 0.000 Na
0.000 0.000 0.000 Na
```

Output
The density of states at the Fermi level is 1.58 states/eV/f.u. Its symmetry is P4/mbm, No. 127. For the magnetization, the calculation gives 0.0 μB/cell.

Which structure wins on stability? B) wins.